[1]
Below is an optimized crystal structure of Y4In, with properties calculated at the GGA-PBE level.

Output
Space-group type: Im-3m, No. 229
Distance to the lowest polymorph of the same formula: 0.555 eV per atom
Energy of formation from the pure elements: 0.359 eV per atom

Cell lengths 6.1536, 6.1536, 6.1536 Å; angles 109.47, 109.47, 109.47 degrees
Closest atoms and distances in Å follow each position.
Positions (direct):
Y 0.0000 0.0000 0.5000  2 In 3.08
Y 0.0000 0.5000 0.0000  2 In 3.08
Y 0.5000 0.0000 0.0000  2 In 3.08
Y 0.5000 0.5000 0.5000  2 In 3.08
In 0.0000 0.0000 0.0000  8 Y 3.08

***

[2]
Below is an optimized crystal structure of SrPuAgPd, with properties calculated at the GGA-PBE level.

Output
Space-group type: F-43m, No. 216
Energy of formation from the pure elements: -0.174 eV per atom

Cell lengths 5.2440, 5.2440, 5.2440 Å; angles 60.00, 60.00, 60.00 degrees
Closest atoms and distances in Å follow each position.
Positions (direct):
Sr 0.0000 0.0000 0.0000  4 Ag 3.21, 4 Pd 3.21
Pu 0.5000 0.5000 0.5000  4 Pd 3.21, 4 Ag 3.21
Ag 0.7500 0.7500 0.7500  4 Sr 3.21, 4 Pu 3.21
Pd 0.2500 0.2500 0.2500  4 Pu 3.21, 4 Sr 3.21